The following is a GGA-PBE calculation of crystalline InAgSb2 at its relaxed geometry, from Alexandria via LeMat-Bulk.

Unit cell a=4.1790 b=4.8568 c=9.8619 alpha=90.00 beta=90.00 gamma=90.00
Space group Cmm2 (No. 35)
Asymmetric unit:
In1 0.0000 0.0000 0.0000
Ag1 0.0000 0.5000 0.7793
Sb1 0.0000 0.0000 0.5593
Sb2 0.0000 0.5000 0.2664

## Properties
Calculated total energy (eV per cell): -26.36